This record from the Alexandria database describes a relaxed SrWSe2 crystal. The functional is PBE.

Its crystal system is orthorhombic. For the excess energy over the best structure of this formula in the dataset, the calculation gives 0.214 eV per atom. As for the total magnetic moment: 1.99 Bohr magnetons per cell. The density is 7224 kg/m³. The final energy is -22.8 eV for the cell shown. The uncorrected formation energy comes out at -0.309 eV/atom.

a = 3.7133 Å, b = 3.8596 Å, c = 6.8867 Å
α = 90.00°, β = 90.00°, γ = 90.00°
Space group Pmmm (No. 47)
Unique sites:
Sr 0.0000 0.0000 0.0000 [1 per cell]
W 0.5000 0.0000 0.5000 [1 per cell]
Se 0.5000 0.5000 0.2554 [2 per cell]